# 1
This record from OQMD via LeMat-Bulk describes a geometry-optimized MgTaNiAu structure. The functional is PBE.

Cell and atoms, written as POSCAR:
```
MgTaNiAu
1.0
0.000 3.187 3.187
3.187 0.000 3.187
3.187 3.187 0.000
Mg Ta Ni Au
1 1 1 1
Direct
0.000 0.000 0.000 Mg
0.500 0.500 0.500 Ta
0.250 0.250 0.250 Ni
0.750 0.750 0.750 Au
```

offset from the most stable computed form = 0 kJ/mol of formula units
space-group type = F-43m (216)
total magnetic moment = 0.000 μB/f.u.
total energy = -5.678 eV/atom


# 2
This record from OQMD via LeMat-Bulk describes a geometry-optimized Cs2HfTe3 structure. The functional is PBE.

Cell and atoms, written as POSCAR:
```
Cs2HfTe3
1.0
9.248 0.000 0.000
0.000 4.372 0.000
-1.492 0.000 12.169
Cs Hf Te
4 2 6
Direct
0.077 0.250 0.140 Cs
0.250 0.750 0.477 Cs
0.750 0.250 0.523 Cs
0.923 0.750 0.860 Cs
0.408 0.250 0.836 Hf
0.592 0.750 0.164 Hf
0.145 0.250 0.703 Te
0.327 0.750 0.984 Te
0.457 0.250 0.276 Te
0.543 0.750 0.724 Te
0.673 0.250 0.016 Te
0.855 0.750 0.297 Te
```

space-group type = P2_1/m (11)
total magnetic moment = 0.004 μB/f.u.
total energy = -4.485 eV/atom


# 3
This record from OQMD via LeMat-Bulk describes a geometry-optimized TlReAsO structure. The functional is PBE.

Cell and atoms, written as POSCAR:
```
TlReAsO
1.0
3.766 0.000 0.000
0.000 7.055 0.000
0.000 0.000 6.696
Tl Re As O
2 2 2 2
Direct
0.000 0.131 0.000 Tl
0.000 0.869 0.500 Tl
0.500 0.299 0.412 Re
0.500 0.701 0.912 Re
0.500 0.398 0.757 As
0.500 0.602 0.257 As
0.000 0.277 0.405 O
0.000 0.723 0.905 O
```

offset from the most stable computed form = 0 kJ/mol of formula units
space-group type = Pmc2_1 (26)
total magnetic moment = 0.003 μB/f.u.
total energy = -6.239 eV/atom


# 4
This record from OQMD via LeMat-Bulk describes a geometry-optimized SmNbNO structure. The functional is PBE.

Cell and atoms, written as POSCAR:
```
SmNbNO
1.0
4.841 0.000 0.000
0.000 4.841 0.000
0.000 0.000 4.569
Sm Nb N O
2 2 2 2
Direct
0.250 0.750 0.000 Sm
0.750 0.250 0.000 Sm
0.250 0.250 0.500 Nb
0.750 0.750 0.500 Nb
0.250 0.250 0.001 N
0.750 0.750 0.999 N
0.250 0.750 0.500 O
0.750 0.250 0.500 O
```

offset from the most stable computed form = 113 kJ/mol of formula units
space-group type = P4/nmm (129)
total magnetic moment = 0.003 μB/f.u.
total energy = -8.428 eV/atom